# 1
Below is LiScZn2 after structural relaxation, with properties calculated at the PBE level.

Values from the calculation:
As for the energy relative to the elements: -0.22 eV per formula unit. The calculation puts the energy at -2.75 eV per atom.

abc: 8.7581 8.7581 8.7581
angles: 20.89 20.89 20.89
Closest atoms and distances in Å follow each position.
Atoms (fractional coordinates):
Li1 0.2500 0.2500 0.2500  6 Zn 2.75
Zn1 0.5035 0.5035 0.5035  3 Li 2.75, 3 Sc 2.89
Zn2 0.9965 0.9965 0.9965  3 Li 2.75, 3 Sc 2.89
Sc1 0.7500 0.7500 0.7500  6 Zn 2.89, 6 Sc 3.18

---

# 2
Below is LiScZn2 after structural relaxation, with properties calculated at the PBE level.

Values from the calculation:
As for the energy relative to the elements: 0.19 eV per formula unit. The calculation puts the energy at -2.65 eV per atom.

abc: 9.0153 9.0153 9.0153
angles: 20.19 20.19 20.19
Closest atoms and distances in Å follow each position.
Atoms (fractional coordinates):
Zn1 0.9924 0.9924 0.9924  3 Zn 2.64, 3 Sc 2.89
Zn2 0.2535 0.2535 0.2535  3 Zn 2.64, 3 Li 2.73
Li1 0.5104 0.5104 0.5104  3 Zn 2.73
Sc1 0.7436 0.7436 0.7436  3 Zn 2.89, 6 Sc 3.16, 3 Li 3.22

---

# 3
Below is Li4ScZn after structural relaxation, with properties calculated at the PBE level.

Values from the calculation:
As for the energy relative to the elements: 0.33 eV per formula unit. The calculation puts the energy at -2.49 eV per atom.

abc: 5.2518 5.2518 5.2518
angles: 60.00 60.00 60.00
Closest atoms and distances in Å follow each position.
Atoms (fractional coordinates):
Li1 0.3735 0.3735 0.8795  6 Li 2.59-2.66
Li2 0.3735 0.8795 0.3735  6 Li 2.59-2.66
Li3 0.3735 0.3735 0.3735  6 Li 2.59-2.66
Li4 0.8795 0.3735 0.3735  6 Li 2.59-2.66
Zn1 0.0000 0.0000 0.0000  12 Li 3.08, 4 Sc 3.22
Sc1 0.7500 0.7500 0.7500  12 Li 3.08, 4 Zn 3.22